[1]
This record from the Alexandria database describes Ba3TbAg2O6 after structural relaxation. The functional is PBE.

Properties
Crystal system: trigonal

Structure (CIF):
```
data_Ba3TbAg2O6
_cell_length_a 6.3279
_cell_length_b 6.3279
_cell_length_c 6.8792
_cell_angle_alpha 90.00
_cell_angle_beta 90.00
_cell_angle_gamma 120.00
_symmetry_space_group_name_H-M 'P -3 m 1'
_symmetry_Int_Tables_number 164
_symmetry_space_group_name_Hall '-P 3 2"'
loop_
_atom_site_label
_atom_site_fract_x
_atom_site_fract_y
_atom_site_fract_z
_atom_site_occupancy
Ba1 0.0000 0.0000 0.0000 1
Ba2 0.3333 0.6667 0.6146 1
Tb1 0.0000 0.0000 0.5000 1
Ag1 0.3333 0.6667 0.1366 1
O1 0.1641 0.3282 0.3060 1
```

=====

[2]
This record from the Alexandria database describes Ba2TbAg3O6 after structural relaxation. The functional is PBE.

Properties
Crystal system: tetragonal

Structure (CIF):
```
data_Ba2TbAg3O6
_cell_length_a 4.109
_cell_length_b 4.109
_cell_length_c 12.686
_cell_angle_alpha 90.00
_cell_angle_beta 90.00
_cell_angle_gamma 90.00
_symmetry_space_group_name_H-M 'P 4/m m m'
_symmetry_Int_Tables_number 123
_symmetry_space_group_name_Hall '-P 4 2'
loop_
_atom_site_label
_atom_site_fract_x
_atom_site_fract_y
_atom_site_fract_z
_atom_site_occupancy
Ba1 0.000 0.000 0.203 1
Tb1 0.000 0.000 0.500 1
Ag1 0.500 0.500 0.000 1
Ag2 0.500 0.500 0.365 1
O1 0.000 0.500 0.388 1
O2 0.500 0.500 0.162 1
```

=====

[3]
This record from the Alexandria database describes Ba2TbAgO4 after structural relaxation. The functional is PBE.

Properties
Crystal system: tetragonal

Structure (CIF):
```
data_Ba2TbAgO4
_cell_length_a 5.725
_cell_length_b 5.725
_cell_length_c 10.859
_cell_angle_alpha 90.00
_cell_angle_beta 90.00
_cell_angle_gamma 90.00
_symmetry_space_group_name_H-M 'I -4'
_symmetry_Int_Tables_number 82
loop_
_symmetry_equiv_pos_as_xyz
'x,y,z'
'y,-x,-z'
'-x,-y,z'
'-y,x,-z'
'x+1/2,y+1/2,z+1/2'
'y+1/2,-x+1/2,-z+1/2'
'-x+1/2,-y+1/2,z+1/2'
'-y+1/2,x+1/2,-z+1/2'
loop_
_atom_site_label
_atom_site_fract_x
_atom_site_fract_y
_atom_site_fract_z
_atom_site_occupancy
Ba1 0.000 0.000 0.000 1
Ba2 0.000 0.500 0.250 1
Tb1 0.000 0.000 0.500 1
Ag1 0.000 0.500 0.750 1
O1 0.212 0.229 0.615 1
```

=====

[4]
This record from the Alexandria database describes Ba2TbAgO5 after structural relaxation. The functional is PBE.

Properties
Crystal system: orthorhombic

Structure (CIF):
```
data_Ba2TbAgO5
_cell_length_a 3.645
_cell_length_b 14.105
_cell_length_c 12.072
_cell_angle_alpha 90.00
_cell_angle_beta 90.00
_cell_angle_gamma 90.00
_symmetry_space_group_name_H-M 'C m c 21'
_symmetry_Int_Tables_number 36
loop_
_symmetry_equiv_pos_as_xyz
'x,y,z'
'-x,-y,z+1/2'
'-x,y,z'
'x,-y,z+1/2'
'x+1/2,y+1/2,z'
'-x+1/2,-y+1/2,z+1/2'
'-x+1/2,y+1/2,z'
'x+1/2,-y+1/2,z+1/2'
loop_
_atom_site_label
_atom_site_fract_x
_atom_site_fract_y
_atom_site_fract_z
_atom_site_occupancy
Ba1 0.000 0.093 0.000 1
Ba2 0.000 0.149 0.618 1
Tb1 0.000 0.208 0.340 1
Ag1 0.000 0.478 0.765 1
O1 0.000 0.059 0.381 1
O2 0.000 0.272 0.957 1
O3 0.000 0.332 0.716 1
O4 0.000 0.375 0.305 1
O5 0.000 0.483 0.098 1
```

=====

[5]
This record from the Alexandria database describes Ba2TcAg2O6 after structural relaxation. The functional is PBE.

Properties
Crystal system: monoclinic

Structure (CIF):
```
data_Ba2TcAg2O6
_cell_length_a 6.476
_cell_length_b 11.317
_cell_length_c 6.508
_cell_angle_alpha 90.00
_cell_angle_beta 102.65
_cell_angle_gamma 90.00
_symmetry_space_group_name_H-M 'C 1 2/m 1'
_symmetry_Int_Tables_number 12
loop_
_symmetry_equiv_pos_as_xyz
'x,y,z'
'-x,-y,-z'
'-x,y,-z'
'x,-y,z'
'x+1/2,y+1/2,z'
'-x+1/2,-y+1/2,-z'
'-x+1/2,y+1/2,-z'
'x+1/2,-y+1/2,z'
loop_
_atom_site_label
_atom_site_fract_x
_atom_site_fract_y
_atom_site_fract_z
_atom_site_occupancy
Ba1 0.000 0.166 0.000 1
Tc1 0.000 0.500 0.000 1
Ag1 0.000 0.371 0.500 1
O1 0.088 0.368 0.826 1
O2 0.226 0.000 0.843 1
```

=====

[6]
This record from the Alexandria database describes BaTc2AgO8 after structural relaxation. The functional is PBE.

Properties
Crystal system: monoclinic

Structure (CIF):
```
data_BaTc2AgO8
_cell_length_a 9.210
_cell_length_b 6.322
_cell_length_c 8.053
_cell_angle_alpha 90.00
_cell_angle_beta 94.58
_cell_angle_gamma 90.00
_symmetry_space_group_name_H-M 'C 1 2/m 1'
_symmetry_Int_Tables_number 12
loop_
_symmetry_equiv_pos_as_xyz
'x,y,z'
'-x,-y,-z'
'-x,y,-z'
'x,-y,z'
'x+1/2,y+1/2,z'
'-x+1/2,-y+1/2,-z'
'-x+1/2,y+1/2,-z'
'x+1/2,-y+1/2,z'
loop_
_atom_site_label
_atom_site_fract_x
_atom_site_fract_y
_atom_site_fract_z
_atom_site_occupancy
Ba1 0.000 0.000 0.000 1
Tc1 0.130 0.500 0.268 1
Ag1 0.000 0.000 0.500 1
O1 0.022 0.266 0.268 1
O2 0.220 0.500 0.082 1
O3 0.245 0.000 0.556 1
```

=====

[7]
This record from the Alexandria database describes Ba3Tc2AgO9 after structural relaxation. The functional is PBE.

Properties
Crystal system: trigonal

Structure (CIF):
```
data_Ba3Tc2AgO9
_cell_length_a 5.8545
_cell_length_b 5.8545
_cell_length_c 7.4376
_cell_angle_alpha 90.00
_cell_angle_beta 90.00
_cell_angle_gamma 120.00
_symmetry_space_group_name_H-M 'P -3 m 1'
_symmetry_Int_Tables_number 164
_symmetry_space_group_name_Hall '-P 3 2"'
loop_
_atom_site_label
_atom_site_fract_x
_atom_site_fract_y
_atom_site_fract_z
_atom_site_occupancy
Ba1 0.0000 0.0000 0.0000 1
Ba2 0.3333 0.6667 0.6641 1
Tc1 0.3333 0.6667 0.1561 1
Ag1 0.0000 0.0000 0.5000 1
O1 0.0000 0.5000 0.0000 1
O2 0.1791 0.3581 0.2987 1
```

=====

[8]
This record from the Alexandria database describes Ba2TcAgO6 after structural relaxation. The functional is PBE.

Properties
Crystal system: trigonal

Structure (CIF):
```
data_Ba2TcAgO6
_cell_length_a 6.0827
_cell_length_b 6.0827
_cell_length_c 29.4694
_cell_angle_alpha 90.00
_cell_angle_beta 90.00
_cell_angle_gamma 120.00
_symmetry_space_group_name_H-M 'R -3 m'
_symmetry_Int_Tables_number 166
_symmetry_space_group_name_Hall '-R 3 2"'
loop_
_atom_site_label
_atom_site_fract_x
_atom_site_fract_y
_atom_site_fract_z
_atom_site_occupancy
Ba1 0.0000 0.0000 0.1278 1
Ba2 0.0000 0.0000 0.2774 1
Tc1 0.0000 0.0000 0.0000 1
Tc2 0.0000 0.0000 0.5000 1
Ag1 0.0000 0.0000 0.3979 1
O1 0.0281 0.5141 0.1301 1
O2 0.0472 0.5236 0.7055 1
```

=====

no.,uncorrected formation energy (meV/atom),VASP energy (eV per atom)
1,-1827,-5.65
2,-1563,-5.46
3,-2218,-6.11
4,-2065,-6.08
5,-1501,-6.02
6,-1535,-6.97
7,-1876,-6.81
8,-1711,-6.39